Entry 1:
Compound: Mg2InOs
Source: Alexandria via LeMat-Bulk
Functional: PBE-GGA
Structure: optimized geometry

Calculated values
- Formation enthalpy at 0 K: 0.161 eV/atom
- E: -4.129 eV per atom
- Calculated volume: 72 Å³ per cell

```
Mg2InOs
1.0
-2.0211 2.0211 4.3780
2.0211 -2.0211 4.3780
2.0211 2.0211 -4.3780
Mg In Os
2 1 1
Direct
0.2500 0.7500 0.5000
0.7500 0.2500 0.5000
0.0000 0.0000 0.0000
0.5000 0.5000 0.0000
```

Entry 2:
Compound: Mg2InOs
Source: Alexandria via LeMat-Bulk
Functional: PBE-GGA
Structure: optimized geometry

Calculated values
- Formation enthalpy at 0 K: 0.362 eV/atom
- E: -3.928 eV per atom
- Calculated volume: 77 Å³ per cell

```
Mg2InOs
1.0
1.6545 -2.4619 0.0000
1.6545 2.4619 0.0000
0.0000 0.0000 9.4723
Mg In Os
2 1 1
Direct
0.0000 0.0000 0.0000
0.5000 0.5000 0.2750
0.5000 0.5000 0.7263
0.0000 0.0000 0.4931
```

Entry 3:
Compound: Mg2InOs
Source: Alexandria via LeMat-Bulk
Functional: PBE-GGA
Structure: optimized geometry

Calculated values
- Formation enthalpy at 0 K: 0.203 eV/atom
- E: -4.086 eV per atom
- Calculated volume: 73 Å³ per cell

```
Mg2InOs
1.0
2.9233 0.0000 0.0000
0.0000 4.1912 0.0000
-0.1116 0.0000 5.9416
Mg In Os
2 1 1
Direct
0.0006 0.0000 0.2778
0.9994 0.0000 0.7222
0.5000 0.5000 0.0000
0.5000 0.5000 0.5000
```

Which value of calculated volume does entry 3 give?
73 Å³ per cell

Look up the E of the first one.
-4.129 eV per atom